# LaPmSmEr (GGA-PBE, relaxed)
# **Final energy**: -18.46 eV per formula unit
# **Calculated density**: 7.29 g/cm3
# **Total moment**: 0.0 μB/f.u.
# **Energy relative to the elements**: 48 kJ/mol of formula units
# **Excess energy over the best structure of this formula in the dataset**: 0.099 eV/atom
data_LaPmSmEr
_chemical_formula_sum 'La4 Pm4 Sm4 Er4'
_cell_length_a 8.182
_cell_length_b 8.182
_cell_length_c 8.182
_cell_angle_alpha 90.00
_cell_angle_beta 90.00
_cell_angle_gamma 90.00
_symmetry_space_group_name_H-M 'F -4 3 m'
_symmetry_Int_Tables_number 216
_symmetry_space_group_name_Hall 'F -4 2 3'
loop_
_atom_site_label
_atom_site_type_symbol
_atom_site_fract_x
_atom_site_fract_y
_atom_site_fract_z
La1 La 0.000 0.000 0.000
Pm1 Pm 0.250 0.250 0.250
Sm1 Sm 0.000 0.000 0.500
Er1 Er 0.250 0.250 0.750